AcNd3Sm2Y6 after structural relaxation. Source: Alexandria, functional PBE-GGA.

Results
Its space group is C2/m. The value obtained for the density of states at the Fermi level is 1.181 states/eV/atom. As for the total energy: -0.2034 Ha/atom. Its formation energy is 0.017 eV per atom. The density comes out at 6.08 g/cm3.

The structure in POSCAR format:
```
AcNd3Sm2Y6
1.0
6.3247 -0.0008 0.0095
-3.1615 5.4778 0.0095
-1.0702 -1.8530 11.7697
Ac Nd Sm Y
1 3 2 6
Direct
0.0000 0.0000 0.0000
0.1669 0.8331 0.5000
0.8331 0.1669 0.5000
0.5000 0.5000 0.5000
0.3333 0.6667 0.0000
0.6667 0.3333 0.0000
0.9155 0.5799 0.7481
0.7487 0.7487 0.2521
0.0845 0.4201 0.2519
0.5799 0.9155 0.7481
0.2513 0.2513 0.7479
0.4201 0.0845 0.2519
```


Ni2TeOs after structural relaxation. Source: Alexandria, functional PBE-GGA.

Results
Its space group is I4/mmm. The value obtained for the density of states at the Fermi level is 1.779 states/eV/atom. As for the total energy: -0.2188 Ha/atom. The density comes out at 12.54 g/cm3.

The structure in POSCAR format:
```
Ni2TeOs
1.0
4.7291 -0.0137 0.0000
1.5850 4.4556 0.0000
-3.1570 -2.2209 2.7322
Ni Os Te
2 1 1
Direct
0.0000 0.0000 0.0000
0.5000 0.5000 0.0000
0.2500 0.7500 0.5000
0.7500 0.2500 0.5000
```


AcBrF after structural relaxation. Source: Alexandria, functional PBE-GGA.

Results
Its space group is P-6m2. The value obtained for the density of states at the Fermi level is 0.277 states/eV/atom. As for the total energy: -0.1881 Ha/atom. The density comes out at 7.43 g/cm3.

The structure in POSCAR format:
```
AcBrF
1.0
-1.9109 3.3188 -1.4274
-0.1232 -1.8515 -4.1400
-3.4098 -0.7133 2.9063
Ac Br F
1 1 1
Direct
0.1668 0.6667 0.3333
0.6667 0.3333 0.6667
0.1665 0.0000 0.0000
```


Sm2HoBi after structural relaxation. Source: Alexandria, functional PBE-GGA.

Results
Its space group is R3m. The value obtained for the density of states at the Fermi level is 1.281 states/eV/atom. As for the total energy: -0.1709 Ha/atom. Its formation energy is -0.176 eV per atom. The density comes out at 8.00 g/cm3.

The structure in POSCAR format:
```
Sm2HoBi
1.0
4.1059 0.0000 0.0000
2.0530 3.5559 0.0000
2.0530 1.1853 9.5919
Sm Ho Bi
2 1 1
Direct
0.0712 0.0712 0.7865
0.2623 0.2623 0.2132
0.5001 0.5001 0.4998
0.6665 0.6665 0.0006
```


Q: density of states at the Fermi level of number 1 (AcNd3Sm2Y6)?
A: 1.181 states/eV/atom


Q: Look up the density of states at the Fermi level of the fourth one.
A: 1.281 states/eV/atom


Q: What is the density of states at the Fermi level in the second record?
A: 1.779 states/eV/atom


Q: The highest density of states at the Fermi level belongs to which entry?
A: Ni2TeOs